## Er6Tm3Pb (GGA-PBE)

Data for Er6Tm3Pb after structural relaxation.

Values from the calculation:
The calculation puts the density of states at the Fermi level at 16.09 states/eV/f.u. The theoretical density is 9.35 Mg/m³. The value obtained for the formation energy is 0.0 eV per formula unit. For the total moment, the calculation gives 0.009 μB per formula unit. The value obtained for the energy above the most stable polymorph in this dataset is 0.018 eV per atom.

Unit cell a=6.099 b=10.741 c=10.741 alpha=119.90 beta=90.00 gamma=90.00
Fractional coordinates of all 20 atoms:
Er 0.539 0.615 0.707
Er 0.039 0.707 0.615
Er 0.427 0.940 0.060
Er 0.927 0.060 0.940
Er 0.861 0.954 0.539
Er 0.151 0.722 0.278
Er 0.539 0.293 0.385
Er 0.039 0.385 0.293
Er 0.861 0.461 0.046
Er 0.361 0.046 0.461
Er 0.651 0.278 0.722
Er 0.361 0.539 0.954
Tm 0.943 0.728 0.948
Tm 0.443 0.948 0.728
Tm 0.943 0.052 0.272
Tm 0.443 0.272 0.052
Tm 0.073 0.390 0.610
Tm 0.573 0.610 0.390
Pb 0.149 0.219 0.781
Pb 0.649 0.781 0.219